Below is a relaxed TlCrAg2F8 crystal, with properties calculated at the PBE+U level.

CIF file:
```
data_TlCrAg2F8
_chemical_formula_sum 'Tl1 Cr1 Ag2 F8'
_symmetry_space_group_name_H-M 'P 1 2/m 1'
_symmetry_Int_Tables_number 10
_cell_length_a 5.0499
_cell_length_b 6.7888
_cell_length_c 5.6500
_cell_angle_alpha 90.00
_cell_angle_beta 91.79
_cell_angle_gamma 90.00
loop_
_symmetry_equiv_pos_as_xyz
'x,y,z'
'-x,-y,-z'
'-x,y,-z'
'x,-y,z'
loop_
_atom_site_label
_atom_site_type_symbol
_atom_site_fract_x
_atom_site_fract_y
_atom_site_fract_z
Tl1 Tl 0.0000 0.0000 0.0000
Cr1 Cr 0.0000 0.5000 0.0000
Ag1 Ag 0.5000 0.2678 0.5000
F1 F 0.1859 0.2811 0.8426
F2 F 0.2584 0.5000 0.2568
F3 F 0.2872 0.0000 0.2832
```

Results
Total moment (μB per formula unit): 2.9
Final energy (eV per atom): -4.39